Record 1
Ba2Zn4Cu | PBE | relaxed

```
data_Ba2Zn4Cu
_chemical_formula_sum 'Ba4 Zn8 Cu2'
_symmetry_space_group_name_H-M 'I 4/m m m'
_symmetry_Int_Tables_number 139
_symmetry_space_group_name_Hall '-I 4 2'
_cell_length_a 4.804
_cell_length_b 4.804
_cell_length_c 17.262
_cell_angle_alpha 90.00
_cell_angle_beta 90.00
_cell_angle_gamma 90.00
loop_
_atom_site_label
_atom_site_type_symbol
_atom_site_fract_x
_atom_site_fract_y
_atom_site_fract_z
Ba1 Ba 0.000 0.000 0.152
Zn1 Zn 0.000 0.000 0.362
Zn2 Zn 0.000 0.500 0.000
Cu1 Cu 0.000 0.000 0.500
```

Output
Energy of formation from the pure elements in kJ/mol of atoms: -5.5
D(E_F) in states/eV/f.u.: 5.94

***

Record 2
Al2SbPb | PBE | relaxed

```
data_Al2SbPb
_chemical_formula_sum 'Al2 Sb1 Pb1'
_symmetry_space_group_name_H-M 'P 1 m 1'
_symmetry_Int_Tables_number 6
_cell_length_a 3.209
_cell_length_b 4.911
_cell_length_c 6.720
_cell_angle_alpha 90.00
_cell_angle_beta 90.12
_cell_angle_gamma 90.00
loop_
_symmetry_equiv_pos_as_xyz
'x,y,z'
'x,-y,z'
loop_
_atom_site_label
_atom_site_type_symbol
_atom_site_fract_x
_atom_site_fract_y
_atom_site_fract_z
Al1 Al 0.000 0.000 0.000
Al2 Al 0.499 0.500 0.856
Sb1 Sb 0.001 0.500 0.216
Pb1 Pb 0.498 0.000 0.607
```

Output
Excess energy over the best structure of this formula in the dataset in eV/atom: 0.0193
D(E_F) in states/eV/f.u.: 0.60

***

Record 3
Y2MgNbC | PBE | relaxed

```
data_Y2MgNbC
_chemical_formula_sum 'Y2 Mg1 Nb1 C1'
_symmetry_space_group_name_H-M 'P 4/m m m'
_symmetry_Int_Tables_number 123
_symmetry_space_group_name_Hall '-P 4 2'
_cell_length_a 5.024
_cell_length_b 5.024
_cell_length_c 4.318
_cell_angle_alpha 90.00
_cell_angle_beta 90.00
_cell_angle_gamma 90.00
loop_
_atom_site_label
_atom_site_type_symbol
_atom_site_fract_x
_atom_site_fract_y
_atom_site_fract_z
Y1 Y 0.000 0.500 0.000
Mg1 Mg 0.000 0.000 0.500
Nb1 Nb 0.500 0.500 0.500
C1 C 0.500 0.500 0.000
```

Output
Energy of formation from the pure elements in kJ/mol of atoms: -11.0
D(E_F) in states/eV/f.u.: 4.78

***

Record 4
YErB12 | PBE | relaxed

```
data_YErB12
_chemical_formula_sum 'Y1 Er1 B12'
_symmetry_space_group_name_H-M 'P 4/m m m'
_symmetry_Int_Tables_number 123
_symmetry_space_group_name_Hall '-P 4 2'
_cell_length_a 4.093
_cell_length_b 4.093
_cell_length_c 8.191
_cell_angle_alpha 90.00
_cell_angle_beta 90.00
_cell_angle_gamma 90.00
loop_
_atom_site_label
_atom_site_type_symbol
_atom_site_fract_x
_atom_site_fract_y
_atom_site_fract_z
Y1 Y 0.000 0.000 0.000
Er1 Er 0.000 0.000 0.500
B1 B 0.199 0.500 0.251
B2 B 0.500 0.500 0.100
B3 B 0.500 0.500 0.401
```

Output
Energy of formation from the pure elements in kJ/mol of atoms: -36.9
D(E_F) in states/eV/f.u.: 1.57

***

Record 5
TlPb6Au6 | PBE | relaxed

```
data_TlPb6Au6
_chemical_formula_sum 'Tl2 Pb12 Au12'
_symmetry_space_group_name_H-M 'I m m m'
_symmetry_Int_Tables_number 71
_symmetry_space_group_name_Hall '-I 2 2'
_cell_length_a 5.833
_cell_length_b 10.132
_cell_length_c 11.072
_cell_angle_alpha 90.00
_cell_angle_beta 90.00
_cell_angle_gamma 90.00
loop_
_atom_site_label
_atom_site_type_symbol
_atom_site_fract_x
_atom_site_fract_y
_atom_site_fract_z
Tl1 Tl 0.000 0.000 0.000
Pb1 Pb 0.000 0.000 0.344
Pb2 Pb 0.000 0.324 0.500
Pb3 Pb 0.000 0.341 0.000
Au1 Au 0.000 0.500 0.266
Au2 Au 0.250 0.250 0.250
```

Output
Energy of formation from the pure elements in kJ/mol of atoms: -3.5
D(E_F) in states/eV/f.u.: 5.41

***

Record 6
CaZrCl2 | PBE | relaxed

```
data_CaZrCl2
_chemical_formula_sum 'Ca4 Zr4 Cl8'
_symmetry_space_group_name_H-M 'F -4 3 m'
_symmetry_Int_Tables_number 216
_symmetry_space_group_name_Hall 'F -4 2 3'
_cell_length_a 7.493
_cell_length_b 7.493
_cell_length_c 7.493
_cell_angle_alpha 90.00
_cell_angle_beta 90.00
_cell_angle_gamma 90.00
loop_
_atom_site_label
_atom_site_type_symbol
_atom_site_fract_x
_atom_site_fract_y
_atom_site_fract_z
Ca1 Ca 0.000 0.000 0.000
Zr1 Zr 0.250 0.250 0.250
Cl1 Cl 0.000 0.000 0.500
Cl2 Cl 0.250 0.250 0.750
```

Output
Excess energy over the best structure of this formula in the dataset in eV/atom: 1.0524
D(E_F) in states/eV/f.u.: 3.52